Entry 1:
Entry from Alexandria: PmH2F after structural relaxation (PBE-GGA).

The structure in CIF format:
```
data_PmH2F
_symmetry_space_group_name_H-M 'P 4/m m m'
_symmetry_Int_Tables_number 123
_symmetry_space_group_name_Hall '-P 4 2'
_cell_length_a 3.483
_cell_length_b 3.483
_cell_length_c 3.556
_cell_angle_alpha 90.00
_cell_angle_beta 90.00
_cell_angle_gamma 90.00
loop_
_atom_site_label
_atom_site_fract_x
_atom_site_fract_y
_atom_site_fract_z
Pm1 0.000 0.000 0.000
H1 0.000 0.500 0.500
F1 0.500 0.500 0.000
```

Computed properties:
VASP energy = -19.18 eV per cell
N(E_F) = 0.01 states/eV/f.u.
Energy relative to the lowest polymorph listed for this composition = 213 meV per atom

---

Entry 2:
Entry from Alexandria: HRuBr2O after structural relaxation (PBE-GGA).

The structure in CIF format:
```
data_HRuBr2O
_symmetry_space_group_name_H-M 'P 4/m m m'
_symmetry_Int_Tables_number 123
_symmetry_space_group_name_Hall '-P 4 2'
_cell_length_a 5.001
_cell_length_b 5.001
_cell_length_c 2.808
_cell_angle_alpha 90.00
_cell_angle_beta 90.00
_cell_angle_gamma 90.00
loop_
_atom_site_label
_atom_site_fract_x
_atom_site_fract_y
_atom_site_fract_z
H1 0.000 0.000 0.000
Ru1 0.500 0.500 0.000
Br1 0.000 0.500 0.500
O1 0.000 0.000 0.500
```

Computed properties:
VASP energy = -17.29 eV per cell
N(E_F) = 4.08 states/eV/f.u.

---

Entry 3:
Entry from Alexandria: LiMgAgGe after structural relaxation (PBE-GGA).

The structure in CIF format:
```
data_LiMgAgGe
_symmetry_space_group_name_H-M 'I -4 m 2'
_symmetry_Int_Tables_number 119
_symmetry_space_group_name_Hall 'I -4 -2'
_cell_length_a 4.769
_cell_length_b 4.769
_cell_length_c 6.090
_cell_angle_alpha 90.00
_cell_angle_beta 90.00
_cell_angle_gamma 90.00
loop_
_atom_site_label
_atom_site_fract_x
_atom_site_fract_y
_atom_site_fract_z
Li1 0.000 0.000 0.000
Mg1 0.000 0.500 0.750
Ag1 0.000 0.500 0.250
Ge1 0.000 0.000 0.500
```

Computed properties:
VASP energy = -23.55 eV per cell
N(E_F) = 1.01 states/eV/f.u.
E_form = -0.199 eV/atom
Energy relative to the lowest polymorph listed for this composition = 21 meV per atom